Material: TaVFeHg2
Method: DFT, PBE
State: optimized geometry

Cell and atoms, written as POSCAR:
```
TaVFeHg2
1.0
5.3040 0.0000 0.0000
0.0000 5.3040 0.0000
0.0000 0.0000 4.2959
Ta V Fe Hg
1 1 1 2
Cartesian
0.0000 0.0000 0.0000 Ta
2.6520 2.6520 2.1480 V
0.0000 0.0000 2.1480 Fe
0.0000 2.6520 0.0000 Hg
2.6520 0.0000 0.0000 Hg
```

Calculated values
total magnetization	0.04	μB per formula unit
formation energy from the elements	1.71	eV per atom



Material: Zr2TaFeHg
Method: DFT, PBE
State: optimized geometry

Cell and atoms, written as POSCAR:
```
Zr2TaFeHg
1.0
5.0419 0.0000 0.0000
0.0000 5.0419 0.0000
0.0000 0.0000 5.2965
Zr Ta Fe Hg
2 1 1 1
Cartesian
0.0000 2.5210 0.0000 Zr
2.5210 0.0000 0.0000 Zr
0.0000 0.0000 0.0000 Ta
2.5210 2.5210 2.6482 Fe
0.0000 0.0000 2.6482 Hg
```

Calculated values
total magnetization	2.72	μB per formula unit
formation energy from the elements	1.35	eV per atom



Material: Tb12Fe6Hg
Method: DFT, PBE
State: optimized geometry

Cell and atoms, written as POSCAR:
```
Tb12Fe6Hg
1.0
-4.8572 4.8572 4.8572
4.8572 -4.8572 4.8572
4.8572 4.8572 -4.8572
Tb Fe Hg
12 6 1
Cartesian
4.8572 -1.9577 2.9610 Tb
2.8995 1.8962 0.0000 Tb
6.8149 1.8962 0.0000 Tb
2.9610 4.8572 -1.9577 Tb
1.8962 0.0000 2.8995 Tb
0.0000 2.8995 1.8962 Tb
4.8572 1.9577 2.9610 Tb
2.9610 4.8572 1.9577 Tb
1.8962 0.0000 6.8149 Tb
-1.9577 2.9610 4.8572 Tb
1.9577 2.9610 4.8572 Tb
0.0000 6.8149 1.8962 Tb
4.8572 0.0000 1.0634 Fe
4.8572 3.7938 0.0000 Fe
1.0634 4.8572 0.0000 Fe
3.7938 0.0000 4.8572 Fe
0.0000 1.0634 4.8572 Fe
0.0000 4.8572 3.7938 Fe
0.0000 0.0000 0.0000 Hg
```

Calculated values
total magnetization	5.70	μB per formula unit
formation energy from the elements	-0.06	eV per atom



Material: Tb3FeHg
Method: DFT, PBE
State: optimized geometry

Cell and atoms, written as POSCAR:
```
Tb3FeHg
1.0
8.5226 0.0000 0.0000
0.0000 3.7255 0.0000
-3.0047 0.0000 8.1152
Tb Fe Hg
6 2 2
Cartesian
-0.1858 0.9314 1.8429 Tb
-0.0829 0.9314 7.4592 Tb
1.0424 2.7941 4.7004 Tb
4.4755 0.9314 3.4148 Tb
5.6008 2.7941 0.6559 Tb
5.7037 2.7941 6.2723 Tb
-1.2345 0.9314 4.6782 Fe
6.7524 2.7941 3.4370 Fe
2.4175 2.7941 1.7917 Hg
3.1004 0.9314 6.3235 Hg
```

Calculated values
total magnetization	1.13	μB per formula unit
formation energy from the elements	-0.19	eV per atom



Material: Tb5Fe2Hg2
Method: DFT, PBE
State: optimized geometry

Cell and atoms, written as POSCAR:
```
Tb5Fe2Hg2
1.0
8.2830 -3.6392 0.0000
8.2830 3.6392 0.0000
0.0000 0.0000 7.3687
Tb Fe Hg
10 4 4
Cartesian
0.0000 0.0000 0.0000 Tb
6.2352 2.3106 5.0193 Tb
6.2352 1.3286 1.3349 Tb
10.3307 2.3106 5.0193 Tb
10.3307 1.3286 1.3349 Tb
8.2830 0.0000 3.6844 Tb
6.2352 -1.3286 6.0338 Tb
6.2352 -2.3106 2.3494 Tb
10.3307 -1.3286 6.0338 Tb
10.3307 -2.3106 2.3494 Tb
8.2830 2.8888 2.8943 Fe
8.2830 0.7504 6.5787 Fe
8.2830 -0.7504 0.7900 Fe
8.2830 -2.8888 4.4744 Fe
3.6823 0.0000 0.0000 Hg
4.6006 0.0000 3.6844 Hg
11.9653 0.0000 3.6844 Hg
12.8836 0.0000 0.0000 Hg
```

Calculated values
total magnetization	1.79	μB per formula unit
formation energy from the elements	-0.20	eV per atom



Material: Fe2TcHg
Method: DFT, PBE
State: optimized geometry

Cell and atoms, written as POSCAR:
```
Fe2TcHg
1.0
1.4023 0.8096 8.8220
-1.4023 0.8096 8.8220
0.0000 -1.6193 8.8220
Fe Tc Hg
2 1 1
Cartesian
0.0000 0.0000 6.4356 Fe
0.0000 0.0000 20.0304 Fe
0.0000 0.0000 13.2330 Tc
0.0000 0.0000 0.0000 Hg
```

Calculated values
total magnetization	4.59	μB per formula unit
formation energy from the elements	0.43	eV per atom



Material: FeTcHg3
Method: DFT, PBE
State: optimized geometry

Cell and atoms, written as POSCAR:
```
FeTcHg3
1.0
4.9693 0.0000 0.0000
0.0000 4.9693 0.0000
0.0000 0.0000 4.9693
Fe Tc Hg
1 1 3
Cartesian
0.0000 0.0000 0.0000 Fe
2.4847 2.4847 2.4847 Tc
0.0000 0.0000 2.4847 Hg
0.0000 2.4847 0.0000 Hg
2.4847 0.0000 0.0000 Hg
```

Calculated values
total magnetization	6.11	μB per formula unit
formation energy from the elements	1.20	eV per atom



Material: Fe2TcHg
Method: DFT, PBE
State: optimized geometry

Cell and atoms, written as POSCAR:
```
Fe2TcHg
1.0
1.6182 -2.1633 0.0000
1.6182 2.1633 0.0000
0.0000 0.0000 8.5946
Fe Tc Hg
2 1 1
Cartesian
0.0000 0.0000 1.9763 Fe
0.0000 0.0000 6.6183 Fe
1.6182 0.0000 0.0000 Tc
1.6182 0.0000 4.2973 Hg
```

Calculated values
total magnetization	5.12	μB per formula unit
formation energy from the elements	0.41	eV per atom



Let's list volume in order: 120.9, 134.6, 458.4, 257.7, 444.2, 60.1, 122.7, 60.2 Å³/cell.